Entry 1:
Entry from Alexandria via LeMat-Bulk: crystalline MnNiPSeN at its relaxed geometry (PBE-GGA).

Computed properties:
- Formation energy (no corrections): 0.02 eV per atom
- Uncorrected energy: -6.4147 eV/atom
- ΔE to the lowest computed polymorph: 145 kJ/mol of formula units
- Space group: No. 8
- Magnetic moment: 0.0 Bohr magnetons per cell
- V: 144.2 Å³ per cell

a = 4.7656 Å, b = 3.1583 Å, c = 10.1400 Å
α = 90.00°, β = 109.08°, γ = 90.00°
Last column: nearest neighbours and their distance in Å.
Positions (direct):
Mn 0.4545 0.0000 0.4654  2 N 1.78
Mn 0.4545 0.5000 0.9654  2 N 1.78
Ni 0.2196 0.0000 0.1780  1 N 1.96, 2 P 2.19
Ni 0.2196 0.5000 0.6780  1 N 1.96, 2 P 2.19
P 0.8838 0.0000 0.6391  2 Ni 2.19, 1 Mn 2.22
P 0.8838 0.5000 0.1391  2 Ni 2.19, 1 Mn 2.22
Se 0.6074 0.0000 0.8102  2 Ni 2.47, 1 P 2.50, 2 Mn 2.50, 1 N 2.73
Se 0.6074 0.5000 0.3102  2 Ni 2.47, 1 P 2.50, 2 Mn 2.50, 1 N 2.73
N 0.3338 0.0000 0.0088  2 Mn 1.78, 1 Ni 1.96
N 0.3338 0.5000 0.5088  2 Mn 1.78, 1 Ni 1.96

Entry 2:
Entry from Alexandria via LeMat-Bulk: crystalline MnNiPSeN at its relaxed geometry (PBE-GGA).

Computed properties:
- Formation energy (no corrections): -0.25 eV per atom
- Uncorrected energy: -6.6826 eV/atom
- ΔE to the lowest computed polymorph: 16 kJ/mol of formula units
- Space group: No. 8
- Magnetic moment: 8.3 Bohr magnetons per cell
- V: 140.1 Å³ per cell

a = 6.9135 Å, b = 3.4220 Å, c = 5.9199 Å
α = 90.00°, β = 89.83°, γ = 90.00°
Last column: nearest neighbours and their distance in Å.
Positions (direct):
Mn 0.4481 0.0000 0.3627  3 N 2.14-2.15
Mn 0.4481 0.5000 0.8627  3 N 2.14-2.15
Ni 0.9343 0.0000 0.3634  3 P 2.24
Ni 0.9343 0.5000 0.8634  3 P 2.24
P 0.0884 0.0000 0.6963  1 N 1.64
P 0.0884 0.5000 0.1963  1 N 1.64
Se 0.7023 0.0000 0.0297  3 Ni 2.54-2.55, 3 Mn 2.64-2.65
Se 0.7023 0.5000 0.5297  3 Ni 2.54-2.55, 3 Mn 2.64-2.65
N 0.3260 0.0000 0.6959  1 P 1.64
N 0.3260 0.5000 0.1959  1 P 1.64

Entry 3:
Entry from Alexandria via LeMat-Bulk: crystalline MnNiPSeN at its relaxed geometry (PBE-GGA).

Computed properties:
- Formation energy (no corrections): -0.14 eV per atom
- Uncorrected energy: -6.5788 eV/atom
- ΔE to the lowest computed polymorph: 66 kJ/mol of formula units
- Space group: No. 8
- Magnetic moment: 5.2 Bohr magnetons per cell
- V: 144.8 Å³ per cell

a = 4.2070 Å, b = 2.9573 Å, c = 11.9665 Å
α = 90.00°, β = 103.45°, γ = 90.00°
Last column: nearest neighbours and their distance in Å.
Positions (direct):
Mn 0.1063 0.0000 0.6712  2 N 1.94
Mn 0.1063 0.5000 0.1712  2 N 1.94
Ni 0.6838 0.0000 0.4407  2 P 2.16, 2 Se 2.40-2.41
Ni 0.6838 0.5000 0.9407  2 P 2.16, 2 Se 2.40-2.41
P 0.6625 0.0000 0.0704  1 N 1.62
P 0.6625 0.5000 0.5704  1 N 1.62
Se 0.1166 0.0000 0.3409  2 Ni 2.40-2.41, 2 Mn 2.50
Se 0.1166 0.5000 0.8409  2 Ni 2.40-2.41, 2 Mn 2.50
N 0.3457 0.0000 0.1257  1 P 1.62
N 0.3457 0.5000 0.6257  1 P 1.62

> What is the uncorrected energy in the third record?

-6.5788 eV/atom